1.
Compound: Cs2ScTaI6
Source: the Alexandria database
Functional: PBE
Structure: optimized geometry

## Properties
Its uncorrected formation energy is -0.792 eV per atom. The calculated total energy is -3.711 eV per atom.

Cell: 11.708 11.708 11.708 Å, 90.00 90.00 90.00°
Space group Fm-3m (No. 225)
One atom of each set of equivalent atoms:
Cs1 0.250 0.250 0.250
Sc1 0.000 0.000 0.000
Ta1 0.000 0.000 0.500
I1 0.000 0.000 0.253

2.
Compound: AcTb6Th2
Source: the Alexandria database
Functional: PBE
Structure: optimized geometry

## Properties
The calculated total energy is -5.091 eV per atom.

Cell: 3.6196 3.6196 26.8106 Å, 90.00 90.00 120.00°
Space group P-6m2 (No. 187)
One atom of each set of equivalent atoms:
Ac1 0.0000 0.0000 0.0000
Tb1 0.0000 0.0000 0.2229
Tb2 0.0000 0.0000 0.4377
Tb3 0.3333 0.6667 0.1174
Th1 0.3333 0.6667 0.3329